An optimized crystal structure of TbMgMoO4, computed with GGA+U.

Computed properties:
- Total moment: 3.0 μB per formula unit
- VASP energy: -7.281 eV/atom

a b c (Å): 6.435 6.462 6.462
angles (deg): 61.47 60.14 60.14
Last column: magnetic moment on the atom in μB.
Atoms (fractional coordinates):
Mo (0.000, 0.000, 0.500)  2.69
Mo (0.500, 0.000, 0.500)  2.69
O (0.746, 0.774, 0.735)  0.03
O (0.251, 0.242, 0.742)  0.02
O (0.254, 0.226, 0.265)  0.03
O (0.766, 0.242, 0.742)  0.02
O (0.234, 0.758, 0.258)  0.02
O (0.746, 0.235, 0.274)  0.03
O (0.749, 0.758, 0.258)  0.02
O (0.254, 0.765, 0.726)  0.03
Tb (0.000, 0.500, 0.500)  0.01
Tb (0.000, 0.000, 0.000)  0.01
Mg (0.618, 0.632, 0.132)  0.01
Mg (0.382, 0.368, 0.868)  0.01